# ThCo5

A relaxed structure of ThCo5 (PBE-GGA, Alexandria via LeMat-Bulk).

## Properties
D(E_F) (states/eV/f.u.): 12.065
Crystal system: hexagonal

abc: 7.3725 7.3725 2.6248
angles: 90.00 90.00 120.00
Space group P6/mmm (No. 191)
One atom of each set of equivalent atoms:
Th (0.0000, 0.0000, 0.0000) x1
Co (0.0000, 0.5000, 0.0000) x3
Co (0.3333, 0.6667, 0.0000) x2

=====

# ThCo6

A relaxed structure of ThCo6 (PBE-GGA, Alexandria via LeMat-Bulk).

## Properties
ΔE to the lowest computed polymorph (meV per atom): 512
D(E_F) (states/eV/f.u.): 6.061
Crystal system: cubic

abc: 6.041 6.041 6.041
angles: 90.00 90.00 90.00
Space group Im-3m (No. 229)
One atom of each set of equivalent atoms:
Th (0.000, 0.000, 0.000) x2
Co (0.000, 0.250, 0.500) x12

=====

# Th7Co3

A relaxed structure of Th7Co3 (PBE-GGA, Alexandria via LeMat-Bulk).

## Properties
D(E_F) (states/eV/f.u.): 11.441
Crystal system: hexagonal

abc: 9.7481 9.7481 6.1969
angles: 90.00 90.00 120.00
Space group P6_3mc (No. 186)
One atom of each set of equivalent atoms:
Th (0.0875, 0.5437, 0.0000) x6
Th (0.1263, 0.2527, 0.6945) x6
Th (0.3333, 0.6667, 0.4933) x2
Co (0.1847, 0.3694, 0.2464) x6

=====

| no. | E_form (eV per atom) | volume (Å³/f.u.) | VASP energy (hartree per atom) |
| --- | --- | --- | --- |
| 1 | 1.568 | 123.55 | -0.2055 |
| 2 | 0.438 | 110.24 | -0.2467 |
| 3 | -0.248 | 254.99 | -0.2783 |